[1]
# HfTiSi | the Alexandria database | PBE-GGA | optimized geometry
# Uncorrected energy   -50.6 eV for the cell shown
# Size of the total moment   0.00 μB per cell
# Crystal system   orthorhombic
data_HfTiSi
_chemical_formula_sum 'Hf2 Ti2 Si2'
_cell_length_a 6.379
_cell_length_b 5.241
_cell_length_c 5.104
_cell_angle_alpha 76.12
_cell_angle_beta 52.91
_cell_angle_gamma 50.97
_space_group_name_H-M_alt 'P 1'
_space_group_IT_number 1
_space_group_name_Hall 'P 1'
loop_
_atom_site_label
_atom_site_type_symbol
_atom_site_fract_x
_atom_site_fract_y
_atom_site_fract_z
Hf1 Hf 0.158 0.842 0.158
Hf2 Hf 0.842 0.158 0.842
Ti1 Ti 0.346 0.346 0.654
Ti2 Ti 0.654 0.654 0.346
Si1 Si 0.250 0.250 0.250
Si2 Si 0.750 0.750 0.750

=====

[2]
# La3PbO | the Alexandria database | PBE-GGA | optimized geometry
# Uncorrected energy   -25.9 eV for the cell shown
# Size of the total moment   0.00 μB per cell
# Crystal system   orthorhombic
data_La3PbO
_chemical_formula_sum 'La3 Pb1 O1'
_cell_length_a 6.086
_cell_length_b 6.535
_cell_length_c 6.535
_cell_angle_alpha 62.78
_cell_angle_beta 90.00
_cell_angle_gamma 90.00
_space_group_name_H-M_alt 'P 1'
_space_group_IT_number 1
_space_group_name_Hall 'P 1'
loop_
_atom_site_label
_atom_site_type_symbol
_atom_site_fract_x
_atom_site_fract_y
_atom_site_fract_z
La1 La 0.000 0.000 0.000
La2 La 0.500 0.050 0.564
La3 La 0.500 0.564 0.050
Pb1 Pb 0.500 0.067 0.067
O1 O 0.000 0.821 0.821

=====

[3]
# SrTe2Br | the Alexandria database | PBE-GGA | optimized geometry
# Size of the total moment   0.00 μB per cell
# Energy above the most stable polymorph in this dataset   189 meV/atom
# Crystal system   tetragonal
data_SrTe2Br
_chemical_formula_sum 'Sr1 Te2 Br1'
_cell_length_a 4.336
_cell_length_b 4.336
_cell_length_c 7.808
_cell_angle_alpha 90.00
_cell_angle_beta 90.00
_cell_angle_gamma 90.00
_space_group_name_H-M_alt 'P 1'
_space_group_IT_number 1
_space_group_name_Hall 'P 1'
loop_
_atom_site_label
_atom_site_type_symbol
_atom_site_fract_x
_atom_site_fract_y
_atom_site_fract_z
Sr1 Sr 0.000 0.000 0.000
Te1 Te 0.000 0.000 0.407
Te2 Te 0.500 0.500 0.344
Br1 Br 0.500 0.500 0.847

=====

[4]
# Ho2Tm3Sb2 | the Alexandria database | PBE-GGA | optimized geometry
# Uncorrected energy   -35.1 eV for the cell shown
# Size of the total moment   0.00 μB per cell
# Crystal system   monoclinic
data_Ho2Tm3Sb2
_chemical_formula_sum 'Ho2 Tm3 Sb2'
_cell_length_a 6.319
_cell_length_b 6.319
_cell_length_c 8.375
_cell_angle_alpha 107.67
_cell_angle_beta 107.67
_cell_angle_gamma 39.14
_space_group_name_H-M_alt 'P 1'
_space_group_IT_number 1
_space_group_name_Hall 'P 1'
loop_
_atom_site_label
_atom_site_type_symbol
_atom_site_fract_x
_atom_site_fract_y
_atom_site_fract_z
Ho1 Ho 0.129 0.129 0.280
Ho2 Ho 0.871 0.871 0.720
Tm1 Tm 0.374 0.374 0.055
Tm2 Tm 0.500 0.500 0.500
Tm3 Tm 0.626 0.626 0.945
Sb1 Sb 0.174 0.174 0.692
Sb2 Sb 0.826 0.826 0.308

=====

[5]
# La2NdI | the Alexandria database | PBE-GGA | optimized geometry
# Size of the total moment   0.00 μB per cell
# Energy above the most stable polymorph in this dataset   35 meV/atom
# Crystal system   tetragonal
data_La2NdI
_chemical_formula_sum 'La2 Nd1 I1'
_cell_length_a 3.777
_cell_length_b 3.777
_cell_length_c 9.924
_cell_angle_alpha 90.00
_cell_angle_beta 90.00
_cell_angle_gamma 90.00
_space_group_name_H-M_alt 'P 1'
_space_group_IT_number 1
_space_group_name_Hall 'P 1'
loop_
_atom_site_label
_atom_site_type_symbol
_atom_site_fract_x
_atom_site_fract_y
_atom_site_fract_z
La1 La 0.000 0.000 0.240
La2 La 0.000 0.000 0.760
Nd1 Nd 0.500 0.500 0.500
I1 I 0.500 0.500 0.000

=====

[6]
# SrZnTc | the Alexandria database | PBE-GGA | optimized geometry
# Size of the total moment   0.00 μB per cell
# Energy above the most stable polymorph in this dataset   151 meV/atom
# Crystal system   monoclinic
# Calculated formation energy   0.6 eV/f.u.
data_SrZnTc
_chemical_formula_sum 'Sr2 Zn2 Tc2'
_cell_length_a 4.731
_cell_length_b 4.734
_cell_length_c 6.475
_cell_angle_alpha 90.00
_cell_angle_beta 94.30
_cell_angle_gamma 90.00
_space_group_name_H-M_alt 'P 1'
_space_group_IT_number 1
_space_group_name_Hall 'P 1'
loop_
_atom_site_label
_atom_site_type_symbol
_atom_site_fract_x
_atom_site_fract_y
_atom_site_fract_z
Sr1 Sr 0.000 0.000 0.000
Sr2 Sr 0.479 0.500 0.730
Zn1 Zn 0.398 0.500 0.244
Zn2 Zn 0.908 0.500 0.395
Tc1 Tc 0.131 0.000 0.471
Tc2 Tc 0.612 0.000 0.385

=====

[7]
# TbMg2Pd | the Alexandria database | PBE-GGA | optimized geometry
# Size of the total moment   0.00 μB per cell
# Crystal system   cubic
# Calculated formation energy   -1.5 eV/f.u.
data_TbMg2Pd
_chemical_formula_sum 'Tb1 Mg2 Pd1'
_cell_length_a 4.937
_cell_length_b 4.937
_cell_length_c 4.937
_cell_angle_alpha 60.00
_cell_angle_beta 60.00
_cell_angle_gamma 60.00
_space_group_name_H-M_alt 'P 1'
_space_group_IT_number 1
_space_group_name_Hall 'P 1'
loop_
_atom_site_label
_atom_site_type_symbol
_atom_site_fract_x
_atom_site_fract_y
_atom_site_fract_z
Tb1 Tb 0.000 0.000 0.000
Mg1 Mg 0.250 0.250 0.250
Mg2 Mg 0.500 0.500 0.500
Pd1 Pd 0.750 0.750 0.750

=====

[8]
# Nd3RuCl | the Alexandria database | PBE-GGA | optimized geometry
# Uncorrected energy   -57.1 eV for the cell shown
# Size of the total moment   0.00 μB per cell
# Crystal system   orthorhombic
data_Nd3RuCl
_chemical_formula_sum 'Nd6 Ru2 Cl2'
_cell_length_a 3.830
_cell_length_b 9.726
_cell_length_c 8.013
_cell_angle_alpha 90.00
_cell_angle_beta 90.00
_cell_angle_gamma 90.00
_space_group_name_H-M_alt 'P 1'
_space_group_IT_number 1
_space_group_name_Hall 'P 1'
loop_
_atom_site_label
_atom_site_type_symbol
_atom_site_fract_x
_atom_site_fract_y
_atom_site_fract_z
Nd1 Nd 0.250 0.075 0.165
Nd2 Nd 0.250 0.250 0.728
Nd3 Nd 0.250 0.425 0.165
Nd4 Nd 0.750 0.575 0.835
Nd5 Nd 0.750 0.750 0.272
Nd6 Nd 0.750 0.925 0.835
Ru1 Ru 0.250 0.750 0.028
Ru2 Ru 0.750 0.250 0.972
Cl1 Cl 0.250 0.750 0.572
Cl2 Cl 0.750 0.250 0.428

=====

[9]
# LiBeMo2 | the Alexandria database | PBE-GGA | optimized geometry
# Size of the total moment   0.00 μB per cell
# Energy above the most stable polymorph in this dataset   266 meV/atom
# Crystal system   cubic
# Calculated formation energy   2.0 eV/f.u.
data_LiBeMo2
_chemical_formula_sum 'Li1 Be1 Mo2'
_cell_length_a 4.149
_cell_length_b 4.149
_cell_length_c 4.149
_cell_angle_alpha 60.00
_cell_angle_beta 60.00
_cell_angle_gamma 60.00
_space_group_name_H-M_alt 'P 1'
_space_group_IT_number 1
_space_group_name_Hall 'P 1'
loop_
_atom_site_label
_atom_site_type_symbol
_atom_site_fract_x
_atom_site_fract_y
_atom_site_fract_z
Li1 Li 0.000 0.000 0.000
Be1 Be 0.500 0.500 0.500
Mo1 Mo 0.250 0.250 0.250
Mo2 Mo 0.750 0.750 0.750

=====

[10]
# PmHoTm | the Alexandria database | PBE-GGA | optimized geometry
# Size of the total moment   0.00 μB per cell
# Energy above the most stable polymorph in this dataset   47 meV/atom
# Crystal system   monoclinic
# Calculated formation energy   0.2 eV/f.u.
data_PmHoTm
_chemical_formula_sum 'Pm2 Ho2 Tm2'
_cell_length_a 3.497
_cell_length_b 5.296
_cell_length_c 10.437
_cell_angle_alpha 90.00
_cell_angle_beta 99.65
_cell_angle_gamma 90.00
_space_group_name_H-M_alt 'P 1'
_space_group_IT_number 1
_space_group_name_Hall 'P 1'
loop_
_atom_site_label
_atom_site_type_symbol
_atom_site_fract_x
_atom_site_fract_y
_atom_site_fract_z
Pm1 Pm 0.046 0.250 0.089
Pm2 Pm 0.954 0.750 0.911
Ho1 Ho 0.376 0.250 0.754
Ho2 Ho 0.624 0.750 0.246
Tm1 Tm 0.209 0.250 0.417
Tm2 Tm 0.791 0.750 0.583

=====

[11]
# CdAsCl2 | the Alexandria database | PBE-GGA | optimized geometry
# Size of the total moment   0.92 μB per cell
# Energy above the most stable polymorph in this dataset   190 meV/atom
# Crystal system   trigonal
data_CdAsCl2
_chemical_formula_sum 'Cd1 As1 Cl2'
_cell_length_a 11.303
_cell_length_b 11.303
_cell_length_c 11.303
_cell_angle_alpha 18.16
_cell_angle_beta 18.16
_cell_angle_gamma 18.16
_space_group_name_H-M_alt 'P 1'
_space_group_IT_number 1
_space_group_name_Hall 'P 1'
loop_
_atom_site_label
_atom_site_type_symbol
_atom_site_fract_x
_atom_site_fract_y
_atom_site_fract_z
Cd1 Cd 0.000 0.000 0.000
As1 As 0.500 0.500 0.500
Cl1 Cl 0.285 0.285 0.285
Cl2 Cl 0.715 0.715 0.715

=====

[12]
# LiBe2FeCu | the Alexandria database | PBE-GGA | optimized geometry
# Size of the total moment   1.20 μB per cell
# Crystal system   tetragonal
# Calculated formation energy   5.0 eV/f.u.
data_LiBe2FeCu
_chemical_formula_sum 'Li1 Be2 Fe1 Cu1'
_cell_length_a 3.795
_cell_length_b 3.795
_cell_length_c 3.834
_cell_angle_alpha 90.00
_cell_angle_beta 90.00
_cell_angle_gamma 90.00
_space_group_name_H-M_alt 'P 1'
_space_group_IT_number 1
_space_group_name_Hall 'P 1'
loop_
_atom_site_label
_atom_site_type_symbol
_atom_site_fract_x
_atom_site_fract_y
_atom_site_fract_z
Li1 Li 0.000 0.000 0.000
Be1 Be 0.000 0.500 0.000
Be2 Be 0.500 0.000 0.000
Fe1 Fe 0.000 0.000 0.500
Cu1 Cu 0.500 0.500 0.500